No. 1
Entry from Alexandria: an optimized crystal structure of Sr2CdB (PBE).

Results
* DFT total energy: -2.3312 eV per atom
* excess energy over the best structure of this formula in the dataset: 0 meV/atom

```
4
Lattice="0.000 3.795 3.795 3.795 0.000 3.795 3.795 3.795 0.000" Properties=species:S:1:pos:R:3 pbc="T T T"
Sr 1.897 1.897 1.897
Sr 5.692 5.692 5.692
Cd 0.000 0.000 0.000
B 3.795 3.795 3.795
```

***

No. 2
Entry from Alexandria: an optimized crystal structure of Sr2TaCdB (PBE).

Results
* DFT total energy: -4.1061 eV per atom

```
5
Lattice="5.779 0.000 0.000 0.000 5.779 0.000 0.000 0.000 4.279" Properties=species:S:1:pos:R:3 pbc="T T T"
Sr 0.000 2.890 0.000
Sr 2.890 0.000 0.000
Ta 0.000 0.000 2.139
Cd 2.890 2.890 2.139
B 0.000 0.000 0.000
```